Entry 1:
Entry from the Alexandria database: a relaxed structure of LuInRh2 (GGA-PBE).

Results
**Total energy**: -6.252 eV per atom

abc: 3.341 3.341 6.388
angles: 90.00 90.00 90.00
Sites, in units of the cell vectors:
1 Lu 0.500 0.500 0.500
2 Rh 0.000 0.000 0.243
3 Rh 0.000 0.000 0.757
4 In 0.500 0.500 0.000

---

Entry 2:
Entry from the Alexandria database: a relaxed structure of Lu2InRh (GGA-PBE).

Results
**Total energy**: -5.336 eV per atom
**Distance to the lowest polymorph of the same formula**: 0.181 eV/atom

abc: 3.646 3.646 8.788
angles: 78.03 78.03 60.00
Sites, in units of the cell vectors:
1 Lu 0.734 0.734 0.799
2 Lu 0.266 0.266 0.201
3 Rh 0.000 0.000 0.000
4 In 0.500 0.500 0.500

---

Entry 3:
Entry from the Alexandria database: a relaxed structure of SmLuInRh (GGA-PBE).

Results
**Total energy**: -5.369 eV per atom

abc: 5.101 5.101 5.101
angles: 60.00 60.00 60.00
Sites, in units of the cell vectors:
1 Rh 0.000 0.000 0.000
2 Lu 0.250 0.250 0.250
3 Sm 0.750 0.750 0.750
4 In 0.500 0.500 0.500

---

Entry 4:
Entry from the Alexandria database: a relaxed structure of LuThInRh (GGA-PBE).

Results
**Total energy**: -5.947 eV per atom

abc: 5.158 5.158 5.158
angles: 60.00 60.00 60.00
Sites, in units of the cell vectors:
1 Th 0.250 0.250 0.250
2 Rh 0.000 0.000 0.000
3 Lu 0.750 0.750 0.750
4 In 0.500 0.500 0.500

---

Entry 5:
Entry from the Alexandria database: a relaxed structure of LuZrInRh (GGA-PBE).

Results
**Total energy**: -6.241 eV per atom

abc: 4.917 4.917 4.917
angles: 60.00 60.00 60.00
Sites, in units of the cell vectors:
1 Zr 0.750 0.750 0.750
2 Rh 0.500 0.500 0.500
3 Lu 0.250 0.250 0.250
4 In 0.000 0.000 0.000

---

Entry 6:
Entry from the Alexandria database: a relaxed structure of Lu2InRu (GGA-PBE).

Results
**Total energy**: -5.556 eV per atom
**Distance to the lowest polymorph of the same formula**: 0.251 eV/atom

abc: 3.444 3.444 9.307
angles: 79.34 79.34 60.00
Sites, in units of the cell vectors:
1 Lu 0.737 0.737 0.790
2 Lu 0.263 0.263 0.210
3 In 0.500 0.500 0.500
4 Ru 0.000 0.000 0.000

---

| no. | ΔH_f (0 K) (eV/atom) |
| --- | --- |
| 1 | -0.76 |
| 2 | -0.55 |
| 3 | -0.54 |
| 4 | -0.44 |
| 5 | -0.45 |
| 6 | -0.29 |